Computed, not measured: a relaxed structure of Mn2NbGeS at the PBE-GGA level of DFT.

```
5
Lattice="4.1602 0.0000 0.0000 0.0000 4.1602 0.0000 0.0000 0.0000 5.0109" Properties=species:S:1:pos:R:3 pbc="T T T"
Mn 0.0000 2.0801 0.0000
Mn 2.0801 0.0000 0.0000
Nb 0.0000 0.0000 2.5055
Ge 2.0801 2.0801 2.5055
S 2.0801 2.0801 0.0000
```

Computed properties:
The symmetry is P4/mmm. Its energy relative to the lowest polymorph listed for this composition is 0.000 eV per atom. The total magnetic moment comes out at 5.042 μB/cell. The calculation puts the density of states at the Fermi level at 2.843 states/eV/cell.